1:
Density functional theory data (GGA-PBE) for a relaxed PuPbF crystal.

a b c (Å): 4.007 4.007 5.376
angles (deg): 90.00 90.00 120.00
Fractional positions:
Pu 0.000 0.000 0.000
Pb 0.333 0.667 0.505
F 0.667 0.333 0.014

Crystal system = trigonal
Total magnetic moment = 5.25 μB/f.u.
SG = No. 156


2:
Density functional theory data (GGA-PBE) for a relaxed PuPbF crystal.

a b c (Å): 6.676 6.676 6.676
angles (deg): 150.75 150.75 41.84
Fractional positions:
Pu 0.000 0.000 0.000
Pb 0.284 0.284 0.000
F 0.562 0.562 0.000

Crystal system = tetragonal
Total magnetic moment = 5.83 μB/f.u.
SG = No. 107


Most stable one: 1, least stable one: 2.